Entry 1:
Compound: InSnBiAu
Source: Alexandria
Functional: PBE
Structure: relaxed

Geometry as extended XYZ:
```
4
Lattice="0.0000 3.7418 3.7418 3.7418 0.0000 3.7418 3.7418 3.7418 0.0000" Properties=species:S:1:pos:R:3 pbc="T T T"
In 0.0000 0.0000 0.0000
Sn 3.7418 3.7418 3.7418
Bi 1.8709 1.8709 1.8709
Au 5.6127 5.6127 5.6127
```

SG: No. 216
Formation energy from the elements, eV/atom: 0.054

***

Entry 2:
Compound: TiZnNi5
Source: Alexandria
Functional: PBE
Structure: relaxed

Geometry as extended XYZ:
```
7
Lattice="4.0759 0.0000 0.0000 0.0000 4.0759 0.0000 0.0000 0.0000 5.4284" Properties=species:S:1:pos:R:3 pbc="T T T"
Ti 0.0000 0.0000 0.0000
Zn 2.0380 2.0380 2.7142
Ni 0.0000 0.0000 2.7142
Ni 0.0000 2.0380 1.3285
Ni 0.0000 2.0380 4.0998
Ni 2.0380 0.0000 1.3285
Ni 2.0380 0.0000 4.0998
```

SG: No. 123
Formation energy from the elements, eV/atom: 0.008

***

Entry 3:
Compound: LiTa2Se
Source: Alexandria
Functional: PBE
Structure: relaxed

Geometry as extended XYZ:
```
4
Lattice="-1.9443 1.9443 4.3438 1.9443 -1.9443 4.3438 1.9443 1.9443 -4.3438" Properties=species:S:1:pos:R:3 pbc="T T T"
Li 0.0000 0.0000 0.0000
Ta 0.0000 0.0000 4.3438
Ta 0.0000 1.9443 2.1719
Se 1.9443 0.0000 2.1719
```

SG: No. 119
ΔE_f (raw), meV/atom: 263

***

Q: What is the formula in the first record?
A: InSnBiAu